# 1
This record from the Alexandria database describes crystalline MgAg2Br at its relaxed geometry. The functional is GGA-PBE.

Output
**Offset from the most stable computed form**: 280 meV per atom
**E_form (uncorrected)**: 0.0 eV per formula unit
**Total moment**: 0.00 μB per formula unit
**Theoretical density**: 5.7 g cm⁻³
**Uncorrected energy**: -2.2378 eV per atom
**Crystal system**: tetragonal

```
8
Lattice="-3.067 -6.575 -3.540 5.349 -4.605 3.919 -0.690 -5.891 2.334" Properties=species:S:1:pos:R:3 pbc="T T T"
Mg 1.141 -5.590 0.189
Mg 2.900 -8.044 3.221
Br 0.000 0.000 0.000
Br -1.308 -9.028 -0.508
Ag -1.408 -6.130 -1.124
Ag 2.774 -5.201 2.575
Ag 0.361 -8.631 1.910
Ag 1.456 -14.182 2.065
```

# 2
This record from the Alexandria database describes crystalline MgAg2Br at its relaxed geometry. The functional is GGA-PBE.

Output
**Offset from the most stable computed form**: 166 meV per atom
**E_form (uncorrected)**: -0.4 eV per formula unit
**Total moment**: 0.00 μB per formula unit
**Theoretical density**: 6.1 g cm⁻³
**Uncorrected energy**: -2.3510 eV per atom
**Crystal system**: tetragonal

```
4
Lattice="-0.269 -0.809 -3.585 2.578 -2.603 0.395 -4.535 -4.294 1.309" Properties=species:S:1:pos:R:3 pbc="T T T"
Ag -4.369 -4.137 1.262
Ag -2.433 -2.304 0.703
Br 0.021 -2.779 -1.267
Mg -2.247 -4.926 -0.613
```

# 3
This record from the Alexandria database describes crystalline MgAgBr2 at its relaxed geometry. The functional is GGA-PBE.

Output
**Offset from the most stable computed form**: 232 meV per atom
**E_form (uncorrected)**: -2.0 eV per formula unit
**Total moment**: 0.00 μB per formula unit
**Theoretical density**: 3.6 g cm⁻³
**Uncorrected energy**: -2.4429 eV per atom
**Crystal system**: tetragonal

```
8
Lattice="-6.687 0.795 -2.392 -1.861 -6.132 3.164 -5.541 0.001 4.814" Properties=species:S:1:pos:R:3 pbc="T T T"
Mg -4.274 -2.668 0.386
Mg -5.838 -4.399 4.182
Br -5.306 -0.328 0.280
Br -3.876 -3.674 2.706
Br -7.498 -2.451 4.132
Br -11.498 -4.218 4.053
Ag 0.000 0.000 0.000
Ag -8.251 -0.936 1.404
```

# 4
This record from the Alexandria database describes crystalline MgAg4Br6 at its relaxed geometry. The functional is GGA-PBE.

Output
**E_form (uncorrected)**: -6.7 eV per formula unit
**Total moment**: 0.00 μB per formula unit
**Theoretical density**: 4.6 g cm⁻³
**Uncorrected energy**: -2.7047 eV per atom
**Crystal system**: monoclinic

```
22
Lattice="-7.645 -1.953 0.283 -2.401 -5.910 4.508 -5.003 5.284 11.465" Properties=species:S:1:pos:R:3 pbc="T T T"
Mg -9.033 -3.852 8.235
Mg -6.270 2.783 11.564
Ag -7.795 -2.943 11.986
Ag -2.526 -2.230 3.941
Ag -8.711 -0.285 6.386
Ag -10.789 -0.182 14.312
Ag -11.798 -2.336 10.806
Ag -7.040 -1.754 2.781
Ag -9.887 1.510 10.506
Ag -5.331 -3.255 6.907
Br -5.098 -3.149 4.165
Br -10.332 1.443 7.790
Br -7.411 -1.960 8.168
Br -8.600 3.666 11.642
Br -6.207 0.854 5.855
Br -13.562 -0.392 13.977
Br -12.251 2.648 11.613
Br -3.731 -1.105 7.867
Br -1.829 0.470 3.746
Br -9.711 -0.911 11.888
Br -6.167 1.279 9.594
Br -8.539 -5.256 6.251
```

# 5
This record from the Alexandria database describes crystalline MgAg2Br at its relaxed geometry. The functional is GGA-PBE.

Output
**Offset from the most stable computed form**: 505 meV per atom
**E_form (uncorrected)**: 0.9 eV per formula unit
**Total moment**: 0.00 μB per formula unit
**Theoretical density**: 5.9 g cm⁻³
**Uncorrected energy**: -2.0122 eV per atom
**Crystal system**: cubic

```
4
Lattice="0.000 3.567 3.567 3.567 0.000 3.567 3.567 3.567 0.000" Properties=species:S:1:pos:R:3 pbc="T T T"
Mg 0.000 0.000 0.000
Br 3.567 3.567 3.567
Ag 1.784 1.784 1.784
Ag 5.351 5.351 5.351
```

# 6
This record from the Alexandria database describes crystalline MgAgBr2 at its relaxed geometry. The functional is GGA-PBE.

Output
**Offset from the most stable computed form**: 0 meV per atom
**E_form (uncorrected)**: -2.9 eV per formula unit
**Total moment**: 0.00 μB per formula unit
**Theoretical density**: 3.7 g cm⁻³
**Uncorrected energy**: -2.6750 eV per atom
**Crystal system**: trigonal

```
4
Lattice="-4.244 3.729 9.958 -2.363 6.726 8.959 -5.777 6.195 7.702" Properties=species:S:1:pos:R:3 pbc="T T T"
Mg -6.192 8.325 13.310
Br -10.900 14.656 23.429
Br -1.484 1.995 3.190
Ag 0.000 0.000 0.000
```

The lowest E_form (uncorrected) belongs to which entry?
MgAg4Br6

theoretical density of number 4 (MgAg4Br6)?
4.6 g cm⁻³